# 1
Ce2AlCu2Ni5 | PBE | optimized geometry

Geometry as CIF:
```
data_Ce2AlCu2Ni5
_chemical_formula_sum 'Ce4 Al2 Cu4 Ni10'
_symmetry_space_group_name_H-M 'P 4/m b m'
_symmetry_Int_Tables_number 127
_symmetry_space_group_name_Hall '-P 4 2ab'
_cell_length_a 9.183
_cell_length_b 9.183
_cell_length_c 3.548
_cell_angle_alpha 90.00
_cell_angle_beta 90.00
_cell_angle_gamma 90.00
loop_
_atom_site_label
_atom_site_type_symbol
_atom_site_fract_x
_atom_site_fract_y
_atom_site_fract_z
_atom_site_occupancy
Ce1 Ce 0.179 0.321 0.000 1
Al1 Al 0.000 0.000 0.000 1
Cu1 Cu 0.120 0.620 0.000 1
Ni1 Ni 0.000 0.500 0.500 1
Ni2 Ni 0.055 0.798 0.500 1
```

# 2
CeAlCuNi | PBE | optimized geometry

Geometry as CIF:
```
data_CeAlCuNi
_chemical_formula_sum 'Ce3 Al3 Cu3 Ni3'
_symmetry_space_group_name_H-M 'R 3 m'
_symmetry_Int_Tables_number 160
_symmetry_space_group_name_Hall 'R 3 -2"'
_cell_length_a 4.2768
_cell_length_b 4.2768
_cell_length_c 13.5832
_cell_angle_alpha 90.00
_cell_angle_beta 90.00
_cell_angle_gamma 120.00
loop_
_atom_site_label
_atom_site_type_symbol
_atom_site_fract_x
_atom_site_fract_y
_atom_site_fract_z
_atom_site_occupancy
Ce1 Ce 0.0000 0.0000 0.0000 1
Al1 Al 0.0000 0.0000 0.5085 1
Cu1 Cu 0.0000 0.0000 0.7918 1
Ni1 Ni 0.0000 0.0000 0.1979 1
```

Number 1: energy of formation -0.2535 eV/atom. Number 2: energy of formation -0.3875 eV/atom.